HoPaAgRu (PBE, relaxed); calculated volume = 87 Å³/f.u.; formation energy = -0.12 eV/atom; calculated total energy = -26.70 eV/cell; DOS(E_F) = 4.78 states/eV per cell; space group = F-43m, No. 216
1.0
0.000 3.511 3.511
3.511 0.000 3.511
3.511 3.511 0.000
Ho Pa Ag Ru
1 1 1 1
direct
0.000 0.000 0.000 Ho
0.500 0.500 0.500 Pa
0.750 0.750 0.750 Ag
0.250 0.250 0.250 Ru